Below is a relaxed KPdS2O crystal, with properties calculated at the PBE-GGA level.

Results
- raw formation energy (meV/atom) = 317
- N(E_F) (states/eV/f.u.) = 3.6

Unit cell a=4.317 b=4.317 c=4.753 alpha=90.00 beta=90.00 gamma=90.00
Space group P4/mmm (No. 123)
Asymmetric unit:
K  0.000  0.000  0.000
Pd  0.500  0.500  0.000
S  0.000  0.500  0.500
O  0.000  0.000  0.500

***

Below is a relaxed K2PdS8O26 crystal, with properties calculated at the PBE-GGA level.

Results
- raw formation energy (meV/atom) = -1245

Unit cell a=7.634 b=9.098 c=9.139 alpha=78.41 beta=73.39 gamma=89.75
Space group P-1 (No. 2)
Asymmetric unit:
K  0.128  0.346  0.262
Pd  0.500  0.000  0.000
S  0.131  0.046  0.687
S  0.217  0.318  0.788
S  0.338  0.804  0.817
S  0.379  0.720  0.300
O  0.029  0.051  0.237
O  0.097  0.406  0.717
O  0.146  0.139  0.821
O  0.152  0.148  0.542
O  0.192  0.696  0.839
O  0.235  0.331  0.936
O  0.265  0.697  0.458
O  0.306  0.877  0.954
O  0.311  0.956  0.669
O  0.358  0.621  0.202
O  0.406  0.328  0.660
O  0.414  0.883  0.227
O  0.476  0.226  0.253

***

Below is a relaxed KSb2PdO crystal, with properties calculated at the PBE-GGA level.

Results
- raw formation energy (meV/atom) = -231
- N(E_F) (states/eV/f.u.) = 2.2

Unit cell a=4.686 b=4.686 c=4.927 alpha=90.00 beta=90.00 gamma=90.00
Space group P4/mmm (No. 123)
Asymmetric unit:
K  0.000  0.000  0.000
Sb  0.000  0.500  0.500
Pd  0.500  0.500  0.000
O  0.000  0.000  0.500

***

Below is a relaxed K2SbPd2O6 crystal, with properties calculated at the PBE-GGA level.

Results
- raw formation energy (meV/atom) = -1044
- N(E_F) (states/eV/f.u.) = 2.4

Unit cell a=6.005 b=9.229 c=6.782 alpha=90.00 beta=112.82 gamma=90.00
Space group C2/m (No. 12)
Asymmetric unit:
K  0.000  0.182  0.000
Sb  0.000  0.000  0.500
Pd  0.000  0.331  0.500
O  0.189  0.162  0.689
O  0.244  0.500  0.653

***

Below is a relaxed K2SbPdO4 crystal, with properties calculated at the PBE-GGA level.

Results
- raw formation energy (meV/atom) = -1183
- N(E_F) (states/eV/f.u.) = 2.2

Unit cell a=12.665 b=4.140 c=6.547 alpha=90.00 beta=115.60 gamma=90.00
Space group Cm (No. 8)
Asymmetric unit:
K  0.000  0.000  0.000
K  0.165  0.000  0.693
Sb  0.424  0.000  0.411
Pd  0.219  0.500  0.336
O  0.020  0.500  0.731
O  0.047  0.500  0.297
O  0.248  0.000  0.370
O  0.383  0.500  0.329

***

Below is a relaxed KScPdO3 crystal, with properties calculated at the PBE-GGA level.

Results
- raw formation energy (meV/atom) = -1775
- N(E_F) (states/eV/f.u.) = 2.7

Unit cell a=6.649 b=3.250 c=9.949 alpha=90.00 beta=107.79 gamma=90.00
Space group P2_1/m (No. 11)
Asymmetric unit:
K  0.013  0.250  0.268
Sc  0.461  0.750  0.624
Pd  0.495  0.750  0.102
O  0.294  0.250  0.685
O  0.343  0.250  0.147
O  0.346  0.750  0.409

***

Below is a relaxed KPdSeO4 crystal, with properties calculated at the PBE-GGA level.

Results
- raw formation energy (meV/atom) = -577
- N(E_F) (states/eV/f.u.) = 4.5

Unit cell a=8.893 b=8.893 c=8.893 alpha=90.00 beta=90.00 gamma=90.00
Space group F-43m (No. 216)
Asymmetric unit:
K  0.000  0.000  0.000
Pd  0.250  0.250  0.250
Se  0.000  0.000  0.500
O  0.111  0.111  0.389

***

Below is a relaxed K5PdSeO2 crystal, with properties calculated at the PBE-GGA level.

Results
- raw formation energy (meV/atom) = -1009
- N(E_F) (states/eV/f.u.) = 5.9

Unit cell a=5.350 b=5.350 c=9.153 alpha=90.00 beta=90.00 gamma=90.00
Space group P4/mmm (No. 123)
Asymmetric unit:
K  0.000  0.000  0.000
K  0.000  0.500  0.257
Pd  0.000  0.000  0.500
Se  0.500  0.500  0.000
O  0.000  0.000  0.286